SrCu3Ir after structural relaxation. Source: the Alexandria database, functional GGA-PBE.

Cell lengths 6.172, 6.172, 5.509 Å; angles 90.00, 90.00, 120.00 degrees
Atoms (fractional coordinates):
Sr 0.333 0.667 0.250
Sr 0.667 0.333 0.750
Cu 0.200 0.401 0.750
Cu 0.200 0.800 0.750
Cu 0.401 0.200 0.250
Cu 0.599 0.800 0.750
Cu 0.800 0.200 0.250
Cu 0.800 0.599 0.250
Ir 0.000 0.000 0.000
Ir 0.000 0.000 0.500

Summary:
Offset from the most stable computed form ... 0.31 eV per formula unit
Space group ... P6_3/mmc (194)
M_tot ... 0.00 μB/f.u.
VASP energy ... -4.539 eV per atom

Sr2CuIr2 after structural relaxation. Source: the Alexandria database, functional GGA-PBE.

Cell lengths 6.833, 6.833, 4.768 Å; angles 90.00, 90.00, 90.00 degrees
Atoms (fractional coordinates):
Sr 0.178 0.322 0.000
Sr 0.322 0.822 0.000
Sr 0.678 0.178 0.000
Sr 0.822 0.678 0.000
Cu 0.000 0.000 0.500
Cu 0.500 0.500 0.500
Ir 0.129 0.629 0.500
Ir 0.371 0.129 0.500
Ir 0.629 0.871 0.500
Ir 0.871 0.371 0.500

Summary:
Offset from the most stable computed form ... 1.25 eV per formula unit
Space group ... P4/mbm (127)
M_tot ... 0.00 μB/f.u.
VASP energy ... -5.023 eV per atom

SrCu3Ir after structural relaxation. Source: the Alexandria database, functional GGA-PBE.

Cell lengths 4.759, 4.759, 4.759 Å; angles 90.00, 90.00, 90.00 degrees
Atoms (fractional coordinates):
Sr 0.000 0.000 0.000
Cu 0.000 0.500 0.500
Cu 0.500 0.000 0.500
Cu 0.500 0.500 0.000
Ir 0.500 0.500 0.500

Summary:
Offset from the most stable computed form ... 1.58 eV per formula unit
Space group ... Pm-3m (221)
M_tot ... 0.00 μB/f.u.
VASP energy ... -4.283 eV per atom

Sr2Cu2Ir after structural relaxation. Source: the Alexandria database, functional GGA-PBE.

Cell lengths 6.943, 6.943, 4.580 Å; angles 90.00, 90.00, 90.00 degrees
Atoms (fractional coordinates):
Sr 0.187 0.313 0.000
Sr 0.313 0.813 0.000
Sr 0.687 0.187 0.000
Sr 0.813 0.687 0.000
Cu 0.128 0.628 0.500
Cu 0.372 0.128 0.500
Cu 0.628 0.872 0.500
Cu 0.872 0.372 0.500
Ir 0.000 0.000 0.500
Ir 0.500 0.500 0.500

Summary:
Space group ... P4/mbm (127)
M_tot ... 0.00 μB/f.u.
VASP energy ... -4.036 eV per atom

SrTbCuIr after structural relaxation. Source: the Alexandria database, functional GGA-PBE.

Cell lengths 5.012, 5.012, 5.012 Å; angles 60.00, 60.00, 60.00 degrees
Atoms (fractional coordinates):
Sr 0.000 0.000 0.000
Tb 0.500 0.500 0.500
Cu 0.250 0.250 0.250
Ir 0.750 0.750 0.750

Summary:
Space group ... F-43m (216)
M_tot ... 0.00 μB/f.u.
VASP energy ... -5.047 eV per atom

SrZnCuIr after structural relaxation. Source: the Alexandria database, functional GGA-PBE.

Cell lengths 4.375, 4.375, 5.837 Å; angles 111.92, 111.92, 60.00 degrees
Atoms (fractional coordinates):
Sr 0.000 0.000 0.000
Zn 0.512 0.512 0.533
Cu 0.816 0.816 0.445
Ir 0.192 0.192 0.572

Summary:
Space group ... Cm (8)
M_tot ... 0.00 μB/f.u.
VASP energy ... -4.198 eV per atom

Sr2Zn12Cu3Ir after structural relaxation. Source: the Alexandria database, functional GGA-PBE.

Cell lengths 10.223, 10.223, 10.223 Å; angles 36.55, 36.55, 36.55 degrees
Atoms (fractional coordinates):
Sr 0.149 0.149 0.149
Sr 0.851 0.851 0.851
Zn 0.087 0.087 0.686
Zn 0.087 0.686 0.087
Zn 0.145 0.571 0.571
Zn 0.314 0.913 0.913
Zn 0.429 0.429 0.855
Zn 0.429 0.855 0.429
Zn 0.571 0.145 0.571
Zn 0.571 0.571 0.145
Zn 0.686 0.087 0.087
Zn 0.855 0.429 0.429
Zn 0.913 0.314 0.913
Zn 0.913 0.913 0.314
Cu 0.000 0.500 0.500
Cu 0.500 0.000 0.500
Cu 0.500 0.500 0.000
Ir 0.500 0.500 0.500

Summary:
Space group ... R-3m (166)
M_tot ... 0.00 μB/f.u.
VASP energy ... -2.229 eV per atom

SrZn2CuIr after structural relaxation. Source: the Alexandria database, functional GGA-PBE.

Cell lengths 4.816, 4.816, 4.885 Å; angles 90.00, 90.00, 90.00 degrees
Atoms (fractional coordinates):
Sr 0.000 0.000 0.000
Zn 0.000 0.500 0.500
Zn 0.500 0.000 0.500
Cu 0.500 0.500 0.000
Ir 0.500 0.500 0.500

Summary:
Space group ... P4/mmm (123)
M_tot ... 0.00 μB/f.u.
VASP energy ... -3.542 eV per atom

TaCuIr2 after structural relaxation. Source: the Alexandria database, functional GGA-PBE.

Cell lengths 4.401, 4.401, 4.401 Å; angles 60.00, 60.00, 60.00 degrees
Atoms (fractional coordinates):
Ta 0.000 0.000 0.000
Cu 0.750 0.750 0.750
Ir 0.250 0.250 0.250
Ir 0.500 0.500 0.500

Summary:
Offset from the most stable computed form ... 1.82 eV per formula unit
Space group ... F-43m (216)
M_tot ... 0.00 μB/f.u.
VASP energy ... -8.407 eV per atom

TaCuIr2 after structural relaxation. Source: the Alexandria database, functional GGA-PBE.

Cell lengths 2.779, 2.779, 7.663 Å; angles 90.00, 90.00, 90.00 degrees
Atoms (fractional coordinates):
Ta 0.000 0.000 0.000
Cu 0.500 0.500 0.249
Ir 0.000 0.000 0.484
Ir 0.500 0.500 0.731

Summary:
Offset from the most stable computed form ... 1.59 eV per formula unit
Space group ... P4mm (99)
M_tot ... 0.00 μB/f.u.
VASP energy ... -8.463 eV per atom

Ta3CuIr after structural relaxation. Source: the Alexandria database, functional GGA-PBE.

Cell lengths 4.554, 4.554, 4.554 Å; angles 90.00, 90.00, 90.00 degrees
Atoms (fractional coordinates):
Ta 0.000 0.000 0.500
Ta 0.000 0.500 0.000
Ta 0.500 0.000 0.000
Cu 0.000 0.000 0.000
Ir 0.500 0.500 0.500

Summary:
Offset from the most stable computed form ... 0.00 eV per formula unit
Space group ... Pm-3m (221)
M_tot ... 0.00 μB/f.u.
VASP energy ... -8.503 eV per atom

TaCuIr2 after structural relaxation. Source: the Alexandria database, functional GGA-PBE.

Cell lengths 4.026, 4.026, 3.631 Å; angles 90.00, 90.00, 90.00 degrees
Atoms (fractional coordinates):
Ta 0.000 0.000 0.000
Cu 0.500 0.500 0.000
Ir 0.000 0.500 0.500
Ir 0.500 0.000 0.500

Summary:
Offset from the most stable computed form ... 0.13 eV per formula unit
Space group ... P4/mmm (123)
M_tot ... 0.00 μB/f.u.
VASP energy ... -8.827 eV per atom